1.
Computed, not measured: an optimized crystal structure of BPIrO2 at the GGA-PBEsol level of DFT.

Cell and atoms, written as extended XYZ:
```
5
Lattice="3.6484 0.0000 0.0000 0.0000 3.6484 0.0000 0.0000 0.0000 5.1818" Properties=species:S:1:pos:R:3 pbc="T T T"
B 0.0000 0.0000 0.0000
P 1.8242 1.8242 0.0000
Ir 1.8242 1.8242 2.5909
O 0.0000 1.8242 2.5909
O 1.8242 0.0000 2.5909
```

Computed properties:
- Formation energy from raw total energies: 270 kJ/mol of formula units

---

2.
Computed, not measured: an optimized crystal structure of ZrTiTc3 at the GGA-PBEsol level of DFT.

Cell and atoms, written as extended XYZ:
```
5
Lattice="4.4583 0.0000 0.0000 0.0000 4.4583 0.0000 0.0000 0.0000 4.4583" Properties=species:S:1:pos:R:3 pbc="T T T"
Zr 0.0000 0.0000 0.0000
Ti 2.2291 2.2291 2.2291
Tc 0.0000 2.2291 2.2291
Tc 2.2291 0.0000 2.2291
Tc 2.2291 2.2291 0.0000
```

Computed properties:
- Energy relative to the elements: 20.1 kcal/mol of atoms

---

3.
Computed, not measured: an optimized crystal structure of LaV2IO9 at the GGA-PBEsol level of DFT.

Cell and atoms, written as extended XYZ:
```
52
Lattice="7.0289 0.0000 0.0000 0.0000 14.5882 0.0000 0.0000 0.0000 7.2431" Properties=species:S:1:pos:R:3 pbc="T T T"
La 1.0499 0.6767 1.8108
La 1.0499 6.6174 5.4323
La 5.9790 7.9708 1.8108
La 5.9790 13.9115 5.4323
V 1.2555 10.6387 5.4323
V 1.2555 11.2437 1.8108
V 3.2918 3.6471 0.0000
V 3.2918 3.6471 3.6216
V 3.7371 10.9412 0.0000
V 3.7371 10.9412 3.6216
V 5.7733 3.3446 5.4323
V 5.7733 3.9496 1.8108
I 2.0792 0.8753 5.4323
I 2.0792 6.4189 1.8108
I 4.9496 8.1694 5.4323
I 4.9496 13.7130 1.8108
O 0.0632 10.1162 1.8108
O 0.0632 11.7661 5.4323
O 0.5370 9.1473 5.4323
O 0.5370 12.7351 1.8108
O 1.2270 7.4182 0.5156
O 1.2270 7.4182 3.1060
O 1.2270 14.4642 4.1372
O 1.2270 14.4642 6.7275
O 1.8072 10.9412 0.0000
O 1.8072 10.9412 3.6216
O 2.3475 2.3065 0.2932
O 2.3475 2.3065 3.3283
O 2.3475 4.9876 3.9148
O 2.3475 4.9876 6.9499
O 3.2760 10.5463 5.4323
O 3.2760 11.3360 1.8108
O 3.3240 7.3914 5.4323
O 3.3240 14.4910 1.8108
O 3.7049 0.0972 5.4323
O 3.7049 7.1969 1.8108
O 3.7529 3.2522 5.4323
O 3.7529 4.0419 1.8108
O 4.6813 9.6006 0.2932
O 4.6813 9.6006 3.3283
O 4.6813 12.2818 3.9148
O 4.6813 12.2818 6.9499
O 5.2217 3.6471 0.0000
O 5.2217 3.6471 3.6216
O 5.8018 0.1241 0.5156
O 5.8018 0.1241 3.1060
O 5.8018 7.1700 4.1372
O 5.8018 7.1700 6.7275
O 6.4918 1.8532 5.4323
O 6.4918 5.4410 1.8108
O 6.9656 2.8221 1.8108
O 6.9656 4.4720 5.4323
```

Computed properties:
- Formation energy from raw total energies: -2649 kJ/mol of formula units

---

4.
Computed, not measured: an optimized crystal structure of ZrTa2BiPt at the GGA-PBEsol level of DFT.

Cell and atoms, written as extended XYZ:
```
5
Lattice="4.9190 0.0000 0.0000 0.0000 4.9190 0.0000 0.0000 0.0000 4.9357" Properties=species:S:1:pos:R:3 pbc="T T T"
Zr 0.0000 0.0000 0.0000
Ta 0.0000 2.4595 0.0000
Ta 2.4595 0.0000 0.0000
Bi 2.4595 2.4595 2.4678
Pt 0.0000 0.0000 2.4678
```

Computed properties:
- Energy relative to the elements: 34.8 kcal/mol of atoms

---

5.
Computed, not measured: an optimized crystal structure of ScIn2Hg at the GGA-PBEsol level of DFT.

Cell and atoms, written as extended XYZ:
```
4
Lattice="-2.1397 2.1397 4.8113 2.1397 -2.1397 4.8113 2.1397 2.1397 -4.8113" Properties=species:S:1:pos:R:3 pbc="T T T"
Sc 0.0000 0.0000 0.0000
In 2.1397 0.0000 2.4056
In 0.0000 2.1397 2.4056
Hg 0.0000 0.0000 4.8113
```

Computed properties:
- Energy relative to the elements: -6.7 kcal/mol of atoms

---

6.
Computed, not measured: an optimized crystal structure of Y3AgW at the GGA-PBEsol level of DFT.

Cell and atoms, written as extended XYZ:
```
5
Lattice="5.2885 0.0000 0.0000 0.0000 5.2885 0.0000 0.0000 0.0000 5.2885" Properties=species:S:1:pos:R:3 pbc="T T T"
Y 0.0000 0.0000 2.6442
Y 0.0000 2.6442 0.0000
Y 2.6442 0.0000 0.0000
Ag 0.0000 0.0000 0.0000
W 2.6442 2.6442 2.6442
```

Computed properties:
- Energy relative to the elements: 27.8 kcal/mol of atoms

---

7.
Computed, not measured: an optimized crystal structure of CaSb2TeOs at the GGA-PBEsol level of DFT.

Cell and atoms, written as extended XYZ:
```
5
Lattice="5.5095 0.0000 0.0000 0.0000 5.5095 0.0000 0.0000 0.0000 5.4095" Properties=species:S:1:pos:R:3 pbc="T T T"
Ca 0.0000 0.0000 0.0000
Sb 0.0000 2.7547 0.0000
Sb 2.7547 0.0000 0.0000
Te 0.0000 0.0000 2.7047
Os 2.7547 2.7547 2.7047
```

Computed properties:
- Formation energy from raw total energies: 872 kJ/mol of formula units

---

8.
Computed, not measured: an optimized crystal structure of GaGePt6 at the GGA-PBEsol level of DFT.

Cell and atoms, written as extended XYZ:
```
8
Lattice="-2.7403 2.7403 3.9572 2.7403 -2.7403 3.9572 2.7403 2.7403 -3.9572" Properties=species:S:1:pos:R:3 pbc="T T T"
Ga 0.0000 0.0000 0.0000
Ge 0.0000 0.0000 3.9572
Pt 2.7403 0.0000 0.0000
Pt 1.1111 -1.1111 2.0098
Pt -1.1111 1.1111 2.0098
Pt 0.0000 2.7403 0.0000
Pt 1.6293 1.6293 1.9473
Pt 1.1111 1.1111 5.9045
```

Computed properties:
- Energy relative to the elements: -9.4 kcal/mol of atoms

---

9.
Computed, not measured: an optimized crystal structure of ReWCl2 at the GGA-PBEsol level of DFT.

Cell and atoms, written as extended XYZ:
```
4
Lattice="6.1442 -1.4694 0.0000 6.1442 1.4694 0.0000 -0.4983 0.0000 4.3858" Properties=species:S:1:pos:R:3 pbc="T T T"
Re 0.0000 0.0000 0.0000
W 5.8951 0.0000 2.1929
Cl 1.5447 0.0000 3.1574
Cl 10.2454 0.0000 1.2285
```

Computed properties:
- Polymorph energy (0 for the lowest one): 584 meV per atom
- Formation energy from raw total energies: 155 kJ/mol of formula units

---

10.
Computed, not measured: an optimized crystal structure of CoAs at the GGA-PBEsol level of DFT.

Cell and atoms, written as extended XYZ:
```
2
Lattice="2.9435 0.0000 0.0000 0.0000 2.9435 0.0000 0.0000 0.0000 2.9435" Properties=species:S:1:pos:R:3 pbc="T T T"
Co 0.0000 0.0000 0.0000
As 1.4717 1.4717 1.4717
```

Computed properties:
- Energy relative to the elements: 1.4 kcal/mol of atoms

---

11.
Computed, not measured: an optimized crystal structure of Ni5Ir at the GGA-PBEsol level of DFT.

Cell and atoms, written as extended XYZ:
```
6
Lattice="2.5499 0.0000 0.0000 0.0000 2.5499 0.0000 0.0000 0.0000 10.2573" Properties=species:S:1:pos:R:3 pbc="T T T"
Ni 0.0000 0.0000 0.0000
Ni 0.0000 0.0000 3.3109
Ni 0.0000 0.0000 6.9464
Ni 1.2749 1.2749 1.6327
Ni 1.2749 1.2749 8.6246
Ir 1.2749 1.2749 5.1287
```

Computed properties:
- Polymorph energy (0 for the lowest one): 25 meV per atom
- Energy relative to the elements: 1.2 kcal/mol of atoms

---

12.
Computed, not measured: an optimized crystal structure of La2YAg at the GGA-PBEsol level of DFT.

Cell and atoms, written as extended XYZ:
```
4
Lattice="3.9634 -3.9728 0.0000 3.9634 3.9728 0.0000 0.0000 0.0000 3.6361" Properties=species:S:1:pos:R:3 pbc="T T T"
La 1.9817 1.9864 0.0000
La 1.9817 -1.9864 0.0000
Y 0.0000 0.0000 1.8180
Ag 3.9634 0.0000 1.8180
```

Computed properties:
- Polymorph energy (0 for the lowest one): 105 meV per atom
- Energy relative to the elements: -0.4 kcal/mol of atoms

---

13.
Computed, not measured: an optimized crystal structure of Cs2CN2 at the GGA-PBEsol level of DFT.

Cell and atoms, written as extended XYZ:
```
15
Lattice="5.8420 0.0000 0.0000 1.6414 5.6072 0.0000 1.4112 1.0565 12.4648" Properties=species:S:1:pos:R:3 pbc="T T T"
Cs 0.3788 0.2718 3.1317
Cs 3.0640 2.2922 5.1779
Cs 3.8041 2.8575 11.4417
Cs 5.0905 3.8062 1.0230
Cs 5.8305 4.3715 7.2869
Cs 8.5157 6.3918 9.3331
C 0.7056 0.5282 6.2324
C 2.7354 2.0383 2.0774
C 6.1591 4.6254 10.3874
N 1.9895 3.0323 2.0758
N 3.0906 5.1398 6.2293
N 5.4132 5.6192 10.3857
N 3.4813 1.0444 2.0791
N 5.8040 1.5238 6.2355
N 6.9051 3.6313 10.3890
```

Computed properties:
- Formation energy from raw total energies: -246 kJ/mol of formula units

---

14.
Computed, not measured: an optimized crystal structure of BaMg3Ir at the GGA-PBEsol level of DFT.

Cell and atoms, written as extended XYZ:
```
5
Lattice="5.1033 0.0000 0.0000 0.0000 5.1033 0.0000 0.0000 0.0000 5.1033" Properties=species:S:1:pos:R:3 pbc="T T T"
Ba 0.0000 0.0000 0.0000
Mg 0.0000 2.5516 2.5516
Mg 2.5516 0.0000 2.5516
Mg 2.5516 2.5516 0.0000
Ir 2.5516 2.5516 2.5516
```

Computed properties:
- Energy relative to the elements: -4.3 kcal/mol of atoms

---

15.
Computed, not measured: an optimized crystal structure of Ni6Ge2B at the GGA-PBEsol level of DFT.

Cell and atoms, written as extended XYZ:
```
9
Lattice="6.1400 0.0000 0.0000 -3.0700 5.3174 0.0000 0.0000 0.0000 2.9004" Properties=species:S:1:pos:R:3 pbc="T T T"
Ni -0.7318 1.2676 0.0000
Ni -1.8994 3.2899 1.4502
Ni 1.4637 0.0000 0.0000
Ni 1.1706 2.0275 1.4502
Ni 3.7989 0.0000 1.4502
Ni 2.3382 4.0498 0.0000
Ge 0.0000 3.5449 0.0000
Ge 3.0700 1.7725 0.0000
B 0.0000 0.0000 1.4502
```

Computed properties:
- Energy relative to the elements: -8.5 kcal/mol of atoms

---

16.
Computed, not measured: an optimized crystal structure of LaMg2Tl at the GGA-PBEsol level of DFT.

Cell and atoms, written as extended XYZ:
```
4
Lattice="0.0000 3.7281 3.7281 3.7281 0.0000 3.7281 3.7281 3.7281 0.0000" Properties=species:S:1:pos:R:3 pbc="T T T"
La 0.0000 0.0000 0.0000
Mg 3.7281 3.7281 3.7281
Mg 5.5921 5.5921 5.5921
Tl 1.8640 1.8640 1.8640
```

Computed properties:
- Polymorph energy (0 for the lowest one): 0 meV per atom
- Energy relative to the elements: -5.8 kcal/mol of atoms

---

17.
Computed, not measured: an optimized crystal structure of ScHgIN2 at the GGA-PBEsol level of DFT.

Cell and atoms, written as extended XYZ:
```
5
Lattice="4.1421 0.0000 0.0000 0.0000 4.1421 0.0000 0.0000 0.0000 6.0737" Properties=species:S:1:pos:R:3 pbc="T T T"
Sc 0.0000 0.0000 0.0000
Hg 2.0710 2.0710 3.0368
I 0.0000 0.0000 3.0368
N 0.0000 2.0710 0.0000
N 2.0710 0.0000 0.0000
```

Computed properties:
- Formation energy from raw total energies: 278 kJ/mol of formula units

---

18.
Computed, not measured: an optimized crystal structure of Co2HgPt at the GGA-PBEsol level of DFT.

Cell and atoms, written as extended XYZ:
```
4
Lattice="-1.8929 1.8929 3.8882 1.8929 -1.8929 3.8882 1.8929 1.8929 -3.8882" Properties=species:S:1:pos:R:3 pbc="T T T"
Co 0.0000 0.0000 0.0000
Co 0.0000 1.8929 1.9441
Hg 0.0000 0.0000 3.8882
Pt 1.8929 0.0000 1.9441
```

Computed properties:
- Energy relative to the elements: 5.4 kcal/mol of atoms

---

19.
Computed, not measured: an optimized crystal structure of Y4MoW at the GGA-PBEsol level of DFT.

Cell and atoms, written as extended XYZ:
```
6
Lattice="0.0000 4.0912 4.0912 4.0912 0.0000 4.0912 4.0912 4.0912 0.0000" Properties=species:S:1:pos:R:3 pbc="T T T"
Y 1.0244 1.0244 1.0244
Y 3.0668 3.0668 1.0244
Y 3.0668 1.0244 3.0668
Y 1.0244 3.0668 3.0668
Mo 6.1367 6.1367 6.1367
W 4.0912 4.0912 4.0912
```

Computed properties:
- Energy relative to the elements: 29.6 kcal/mol of atoms

---

20.
Computed, not measured: an optimized crystal structure of BaGa3Br at the GGA-PBEsol level of DFT.

Cell and atoms, written as extended XYZ:
```
5
Lattice="5.4203 0.0000 0.0000 0.0000 5.4203 0.0000 0.0000 0.0000 5.4203" Properties=species:S:1:pos:R:3 pbc="T T T"
Ba 0.0000 0.0000 0.0000
Ga 0.0000 2.7101 2.7101
Ga 2.7101 0.0000 2.7101
Ga 2.7101 2.7101 0.0000
Br 2.7101 2.7101 2.7101
```

Computed properties:
- Formation energy from raw total energies: 30 kJ/mol of formula units

---

21.
Computed, not measured: an optimized crystal structure of V4Pb3O3F19 at the GGA-PBEsol level of DFT.

Cell and atoms, written as extended XYZ:
```
58
Lattice="10.1648 0.0000 0.0000 -5.0824 8.8030 0.0000 0.0000 0.0000 8.9261" Properties=species:S:1:pos:R:3 pbc="T T T"
V -0.8088 2.6808 0.0000
V -2.3564 8.1631 0.0000
V 2.7260 0.6399 4.4631
V 0.0000 5.8687 2.5280
V 5.0824 2.9343 6.9910
V 3.1652 6.7621 0.0000
V 4.2736 6.1222 4.4631
V 8.2476 2.0408 4.4631
Pb -2.3396 5.4036 5.9192
Pb 1.5726 4.0750 5.9192
Pb 2.7428 3.3994 1.4561
Pb 0.7670 8.1273 5.9192
Pb 5.8495 0.6756 1.4561
Pb 6.6550 4.7280 1.4561
O -0.7335 1.4644 3.6188
O -3.4475 8.7060 3.6188
O 1.6349 0.0970 8.0819
O 4.1809 7.4356 3.6188
O 4.3489 7.3386 8.0819
O 9.2634 1.3674 8.0819
F -1.8455 3.8793 8.0261
F -0.9527 3.1878 5.5665
F -3.2932 7.3586 1.3063
F -2.3540 6.4948 8.1185
F 0.3563 2.2717 1.3063
F -0.9217 4.6892 1.4125
F -1.5114 6.0518 3.5485
F 1.7892 1.4444 5.7694
F 0.6347 3.5170 8.1185
F -1.8454 8.0341 5.5665
F 0.5971 4.4682 3.5485
F 0.0000 5.8687 6.1625
F -0.5605 7.2566 1.4125
F 3.2370 0.7688 1.1035
F 2.7284 2.3082 3.6555
F -0.8001 8.4615 8.0261
F 4.2823 0.3415 3.5630
F 1.4823 5.6601 1.4125
F 0.9143 7.0860 3.5485
F 3.5710 2.7512 8.0116
F 4.5219 1.5464 5.8756
F 2.6455 5.2651 8.0261
F 3.2370 4.9236 3.5630
F 1.7193 7.5942 8.1185
F 2.7981 6.3841 5.5665
F 4.1607 4.1137 5.8756
F 5.0824 2.9343 1.6994
F 5.9967 1.7170 8.0116
F 4.1297 5.6152 1.1035
F 6.8017 1.2088 3.6555
F 2.9369 7.9757 1.3063
F 5.6795 4.3348 8.0116
F 6.5647 3.1429 5.8756
F 8.0193 0.8273 5.7694
F 5.7171 5.2860 3.6555
F 5.4387 6.5313 5.7694
F 7.8805 2.4189 1.1035
F 7.7279 3.5379 3.5630
```

Computed properties:
- Formation energy from raw total energies: -7338 kJ/mol of formula units

---

22.
Computed, not measured: an optimized crystal structure of SrCdSi at the GGA-PBEsol level of DFT.

Cell and atoms, written as extended XYZ:
```
3
Lattice="4.4378 0.0000 0.0000 -2.2189 3.8432 0.0000 0.0000 0.0000 4.5971" Properties=species:S:1:pos:R:3 pbc="T T T"
Sr 0.0000 0.0000 0.0000
Cd 0.0000 2.5622 2.2986
Si 2.2189 1.2811 2.2986
```

Computed properties:
- Formation energy from raw total energies: -101 kJ/mol of formula units

---

| no. | V (Å³ per atom) |
| --- | --- |
| 1 | 13.8 |
| 2 | 17.7 |
| 3 | 14.3 |
| 4 | 23.9 |
| 5 | 22.0 |
| 6 | 29.6 |
| 7 | 32.8 |
| 8 | 14.9 |
| 9 | 19.8 |
| 10 | 12.8 |
| 11 | 11.1 |
| 12 | 28.6 |
| 13 | 27.2 |
| 14 | 26.6 |
| 15 | 10.5 |
| 16 | 25.9 |
| 17 | 20.8 |
| 18 | 13.9 |
| 19 | 22.8 |
| 20 | 31.8 |
| 21 | 13.8 |
| 22 | 26.1 |